(1)
# Tm3ZnGa2 | Alexandria via LeMat-Bulk | PBE | optimized geometry
# Spin magnetization = 0.00 Bohr magnetons per cell
# Calculated density = 9.0 Mg/m³
# Offset from the most stable computed form = 9 meV per atom
# ΔH_f (0 K) = -0.50 eV per atom
data_Tm3ZnGa2
_symmetry_space_group_name_H-M 'P 4/m m m'
_symmetry_Int_Tables_number 123
_symmetry_space_group_name_Hall '-P 4 2'
_cell_length_a 3.510
_cell_length_b 3.510
_cell_length_c 10.619
_cell_angle_alpha 90.00
_cell_angle_beta 90.00
_cell_angle_gamma 90.00
loop_
_atom_site_label
_atom_site_type_symbol
_atom_site_fract_x
_atom_site_fract_y
_atom_site_fract_z
Tm1 Tm 0.000 0.000 0.000
Tm2 Tm 0.000 0.000 0.337
Zn1 Zn 0.500 0.500 0.500
Ga1 Ga 0.500 0.500 0.171

(2)
# Tm3Zn9Ga2 | Alexandria via LeMat-Bulk | PBE | optimized geometry
# Spin magnetization = 0.00 Bohr magnetons per cell
# Calculated density = 8.2 Mg/m³
# ΔH_f (0 K) = -0.34 eV per atom
data_Tm3Zn9Ga2
_symmetry_space_group_name_H-M 'I m m m'
_symmetry_Int_Tables_number 71
_symmetry_space_group_name_Hall '-I 2 2'
_cell_length_a 4.255
_cell_length_b 9.450
_cell_length_c 12.368
_cell_angle_alpha 90.00
_cell_angle_beta 90.00
_cell_angle_gamma 90.00
loop_
_atom_site_label
_atom_site_type_symbol
_atom_site_fract_x
_atom_site_fract_y
_atom_site_fract_z
Tm1 Tm 0.000 0.000 0.000
Tm2 Tm 0.000 0.000 0.301
Zn1 Zn 0.000 0.278 0.143
Zn2 Zn 0.000 0.368 0.342
Zn3 Zn 0.000 0.500 0.000
Ga1 Ga 0.000 0.195 0.500

(3)
# Tm6ZnGa2 | Alexandria via LeMat-Bulk | PBE | optimized geometry
# Spin magnetization = 0.00 Bohr magnetons per cell
# Calculated density = 8.8 Mg/m³
# Offset from the most stable computed form = 0 meV per atom
# ΔH_f (0 K) = -0.36 eV per atom
data_Tm6ZnGa2
_symmetry_space_group_name_H-M 'I m m m'
_symmetry_Int_Tables_number 71
_symmetry_space_group_name_Hall '-I 2 2'
_cell_length_a 9.405
_cell_length_b 9.511
_cell_length_c 10.243
_cell_angle_alpha 90.00
_cell_angle_beta 90.00
_cell_angle_gamma 90.00
loop_
_atom_site_label
_atom_site_type_symbol
_atom_site_fract_x
_atom_site_fract_y
_atom_site_fract_z
Tm1 Tm 0.000 0.206 0.177
Tm2 Tm 0.179 0.229 0.500
Tm3 Tm 0.195 0.500 0.254
Zn1 Zn 0.000 0.500 0.000
Zn2 Zn 0.000 0.500 0.500
Ga1 Ga 0.000 0.000 0.377
Ga2 Ga 0.149 0.000 0.000

(4)
# TmZn3Ga | Alexandria via LeMat-Bulk | PBE | optimized geometry
# Spin magnetization = 0.00 Bohr magnetons per cell
# Calculated density = 8.1 Mg/m³
# ΔH_f (0 K) = -0.34 eV per atom
data_TmZn3Ga
_symmetry_space_group_name_H-M 'C 1 m 1'
_symmetry_Int_Tables_number 8
_cell_length_a 5.751
_cell_length_b 5.769
_cell_length_c 6.113
_cell_angle_alpha 90.00
_cell_angle_beta 117.84
_cell_angle_gamma 90.00
loop_
_symmetry_equiv_pos_as_xyz
'x,y,z'
'x,-y,z'
'x+1/2,y+1/2,z'
'x+1/2,-y+1/2,z'
loop_
_atom_site_label
_atom_site_type_symbol
_atom_site_fract_x
_atom_site_fract_y
_atom_site_fract_z
Tm1 Tm 0.000 0.000 0.000
Zn1 Zn 0.003 0.249 0.505
Zn2 Zn 0.115 0.500 0.231
Ga1 Ga 0.395 0.000 0.788

(5)
# Tm2Zn2Ga | Alexandria via LeMat-Bulk | PBE | optimized geometry
# Spin magnetization = 0.00 Bohr magnetons per cell
# Calculated density = 8.6 Mg/m³
# ΔH_f (0 K) = -0.41 eV per atom
data_Tm2Zn2Ga
_symmetry_space_group_name_H-M 'A m m 2'
_symmetry_Int_Tables_number 38
_cell_length_a 3.450
_cell_length_b 4.278
_cell_length_c 14.015
_cell_angle_alpha 90.00
_cell_angle_beta 90.00
_cell_angle_gamma 90.00
loop_
_symmetry_equiv_pos_as_xyz
'x,y,z'
'-x,-y,z'
'-x,y,z'
'x,-y,z'
'x,y+1/2,z+1/2'
'-x,-y+1/2,z+1/2'
'-x,y+1/2,z+1/2'
'x,-y+1/2,z+1/2'
loop_
_atom_site_label
_atom_site_type_symbol
_atom_site_fract_x
_atom_site_fract_y
_atom_site_fract_z
Tm1 Tm 0.000 0.000 0.000
Tm2 Tm 0.000 0.000 0.237
Zn1 Zn 0.500 0.000 0.620
Zn2 Zn 0.500 0.000 0.819
Ga1 Ga 0.500 0.000 0.418

(6)
# TmZn6Ga6 | Alexandria via LeMat-Bulk | PBE | optimized geometry
# Spin magnetization = 0.00 Bohr magnetons per cell
# Calculated density = 7.3 Mg/m³
# ΔH_f (0 K) = -0.10 eV per atom
data_TmZn6Ga6
_symmetry_space_group_name_H-M 'I m m m'
_symmetry_Int_Tables_number 71
_symmetry_space_group_name_Hall '-I 2 2'
_cell_length_a 5.307
_cell_length_b 9.072
_cell_length_c 9.322
_cell_angle_alpha 90.00
_cell_angle_beta 90.00
_cell_angle_gamma 90.00
loop_
_atom_site_label
_atom_site_type_symbol
_atom_site_fract_x
_atom_site_fract_y
_atom_site_fract_z
Tm1 Tm 0.000 0.000 0.000
Zn1 Zn 0.000 0.500 0.272
Zn2 Zn 0.250 0.250 0.250
Ga1 Ga 0.000 0.000 0.353
Ga2 Ga 0.000 0.318 0.500
Ga3 Ga 0.000 0.348 0.000

(7)
# Tm4ZnGa12 | Alexandria via LeMat-Bulk | PBE | optimized geometry
# Spin magnetization = 0.00 Bohr magnetons per cell
# Calculated density = 8.1 Mg/m³
# ΔH_f (0 K) = -0.45 eV per atom
data_Tm4ZnGa12
_symmetry_space_group_name_H-M 'I m -3 m'
_symmetry_Int_Tables_number 229
_symmetry_space_group_name_Hall '-I 4 2 3'
_cell_length_a 8.632
_cell_length_b 8.632
_cell_length_c 8.632
_cell_angle_alpha 90.00
_cell_angle_beta 90.00
_cell_angle_gamma 90.00
loop_
_atom_site_label
_atom_site_type_symbol
_atom_site_fract_x
_atom_site_fract_y
_atom_site_fract_z
Tm1 Tm 0.250 0.250 0.250
Zn1 Zn 0.000 0.000 0.000
Ga1 Ga 0.000 0.000 0.301
Ga2 Ga 0.000 0.250 0.500

(8)
# Tm5ZnGa2 | Alexandria via LeMat-Bulk | PBE | optimized geometry
# Spin magnetization = 0.00 Bohr magnetons per cell
# Calculated density = 8.8 Mg/m³
# Offset from the most stable computed form = 0 meV per atom
# ΔH_f (0 K) = -0.40 eV per atom
data_Tm5ZnGa2
_symmetry_space_group_name_H-M 'I 4/m c m'
_symmetry_Int_Tables_number 140
_symmetry_space_group_name_Hall '-I 4 2c'
_cell_length_a 7.422
_cell_length_b 7.422
_cell_length_c 14.391
_cell_angle_alpha 90.00
_cell_angle_beta 90.00
_cell_angle_gamma 90.00
loop_
_atom_site_label
_atom_site_type_symbol
_atom_site_fract_x
_atom_site_fract_y
_atom_site_fract_z
Tm1 Tm 0.000 0.000 0.000
Tm2 Tm 0.171 0.329 0.147
Zn1 Zn 0.000 0.000 0.250
Ga1 Ga 0.123 0.377 0.500

(9)
# Tm3ZnGa | Alexandria via LeMat-Bulk | PBE | optimized geometry
# Spin magnetization = 0.00 Bohr magnetons per cell
# Calculated density = 9.0 Mg/m³
# Offset from the most stable computed form = 0 meV per atom
# ΔH_f (0 K) = -0.38 eV per atom
data_Tm3ZnGa
_symmetry_space_group_name_H-M 'C m c m'
_symmetry_Int_Tables_number 63
_symmetry_space_group_name_Hall '-C 2c 2'
_cell_length_a 4.942
_cell_length_b 19.486
_cell_length_c 4.939
_cell_angle_alpha 90.00
_cell_angle_beta 90.00
_cell_angle_gamma 90.00
loop_
_atom_site_label
_atom_site_type_symbol
_atom_site_fract_x
_atom_site_fract_y
_atom_site_fract_z
Tm1 Tm 0.000 0.067 0.250
Tm2 Tm 0.000 0.249 0.250
Tm3 Tm 0.000 0.432 0.250
Zn1 Zn 0.000 0.158 0.750
Ga1 Ga 0.000 0.340 0.750

(10)
# Tm7Zn2Ga2 | Alexandria via LeMat-Bulk | PBE | optimized geometry
# Spin magnetization = 0.00 Bohr magnetons per cell
# Calculated density = 8.3 Mg/m³
# ΔH_f (0 K) = -0.07 eV per atom
data_Tm7Zn2Ga2
_symmetry_space_group_name_H-M 'C m m m'
_symmetry_Int_Tables_number 65
_symmetry_space_group_name_Hall '-C 2 2'
_cell_length_a 7.368
_cell_length_b 10.701
_cell_length_c 7.347
_cell_angle_alpha 90.00
_cell_angle_beta 90.00
_cell_angle_gamma 90.00
loop_
_atom_site_label
_atom_site_type_symbol
_atom_site_fract_x
_atom_site_fract_y
_atom_site_fract_z
Tm1 Tm 0.000 0.000 0.000
Tm2 Tm 0.000 0.500 0.257
Tm3 Tm 0.250 0.250 0.283
Zn1 Zn 0.000 0.291 0.000
Ga1 Ga 0.173 0.000 0.500

(11)
# Tm2Zn2Ga | Alexandria via LeMat-Bulk | PBE | optimized geometry
# Spin magnetization = 0.00 Bohr magnetons per cell
# Calculated density = 8.6 Mg/m³
# ΔH_f (0 K) = -0.44 eV per atom
data_Tm2Zn2Ga
_symmetry_space_group_name_H-M 'C 1 2/m 1'
_symmetry_Int_Tables_number 12
_cell_length_a 10.468
_cell_length_b 4.318
_cell_length_c 10.357
_cell_angle_alpha 90.00
_cell_angle_beta 117.12
_cell_angle_gamma 90.00
loop_
_symmetry_equiv_pos_as_xyz
'x,y,z'
'-x,-y,-z'
'-x,y,-z'
'x,-y,z'
'x+1/2,y+1/2,z'
'-x+1/2,-y+1/2,-z'
'-x+1/2,y+1/2,-z'
'x+1/2,-y+1/2,z'
loop_
_atom_site_label
_atom_site_type_symbol
_atom_site_fract_x
_atom_site_fract_y
_atom_site_fract_z
Tm1 Tm 0.017 0.000 0.334
Tm2 Tm 0.189 0.000 0.101
Zn1 Zn 0.022 0.500 0.885
Zn2 Zn 0.139 0.500 0.560
Ga1 Ga 0.226 0.500 0.337

(12)
# Tm3Zn2Ga3 | Alexandria via LeMat-Bulk | PBE | optimized geometry
# Spin magnetization = 2.01 Bohr magnetons per cell
# Calculated density = 8.7 Mg/m³
# ΔH_f (0 K) = -0.55 eV per atom
data_Tm3Zn2Ga3
_symmetry_space_group_name_H-M 'C m c m'
_symmetry_Int_Tables_number 63
_symmetry_space_group_name_Hall '-C 2c 2'
_cell_length_a 4.321
_cell_length_b 10.512
_cell_length_c 14.313
_cell_angle_alpha 90.00
_cell_angle_beta 90.00
_cell_angle_gamma 90.00
loop_
_atom_site_label
_atom_site_type_symbol
_atom_site_fract_x
_atom_site_fract_y
_atom_site_fract_z
Tm1 Tm 0.000 0.086 0.113
Tm2 Tm 0.000 0.362 0.250
Zn1 Zn 0.000 0.209 0.599
Ga1 Ga 0.000 0.348 0.750
Ga2 Ga 0.000 0.390 0.041

(13)
# Tm6ZnGa2 | Alexandria via LeMat-Bulk | PBE | optimized geometry
# Spin magnetization = 0.00 Bohr magnetons per cell
# Calculated density = 8.2 Mg/m³
# Offset from the most stable computed form = 204 meV per atom
# ΔH_f (0 K) = -0.16 eV per atom
data_Tm6ZnGa2
_symmetry_space_group_name_H-M 'I m m m'
_symmetry_Int_Tables_number 71
_symmetry_space_group_name_Hall '-I 2 2'
_cell_length_a 4.877
_cell_length_b 6.913
_cell_length_c 14.679
_cell_angle_alpha 90.00
_cell_angle_beta 90.00
_cell_angle_gamma 90.00
loop_
_atom_site_label
_atom_site_type_symbol
_atom_site_fract_x
_atom_site_fract_y
_atom_site_fract_z
Tm1 Tm 0.000 0.247 0.000
Tm2 Tm 0.000 0.252 0.334
Zn1 Zn 0.000 0.500 0.500
Ga1 Ga 0.000 0.500 0.167

(14)
# Tm6Zn5Ga | Alexandria via LeMat-Bulk | PBE | optimized geometry
# Spin magnetization = 0.00 Bohr magnetons per cell
# Calculated density = 8.9 Mg/m³
# ΔH_f (0 K) = -0.40 eV per atom
data_Tm6Zn5Ga
_symmetry_space_group_name_H-M 'C m m m'
_symmetry_Int_Tables_number 65
_symmetry_space_group_name_Hall '-C 2 2'
_cell_length_a 4.970
_cell_length_b 14.950
_cell_length_c 7.047
_cell_angle_alpha 90.00
_cell_angle_beta 90.00
_cell_angle_gamma 90.00
loop_
_atom_site_label
_atom_site_type_symbol
_atom_site_fract_x
_atom_site_fract_y
_atom_site_fract_z
Tm1 Tm 0.000 0.000 0.250
Tm2 Tm 0.000 0.333 0.249
Zn1 Zn 0.000 0.167 0.000
Zn2 Zn 0.000 0.170 0.500
Zn3 Zn 0.000 0.500 0.000
Ga1 Ga 0.000 0.500 0.500

(15)
# TmZnGa6 | Alexandria via LeMat-Bulk | PBE | optimized geometry
# Spin magnetization = 0.00 Bohr magnetons per cell
# Calculated density = 7.2 Mg/m³
# ΔH_f (0 K) = -0.19 eV per atom
data_TmZnGa6
_symmetry_space_group_name_H-M 'C m m m'
_symmetry_Int_Tables_number 65
_symmetry_space_group_name_Hall '-C 2 2'
_cell_length_a 6.650
_cell_length_b 10.168
_cell_length_c 4.448
_cell_angle_alpha 90.00
_cell_angle_beta 90.00
_cell_angle_gamma 90.00
loop_
_atom_site_label
_atom_site_type_symbol
_atom_site_fract_x
_atom_site_fract_y
_atom_site_fract_z
Tm1 Tm 0.000 0.000 0.000
Zn1 Zn 0.000 0.500 0.000
Ga1 Ga 0.000 0.212 0.500
Ga2 Ga 0.202 0.500 0.500
Ga3 Ga 0.250 0.250 0.000

(16)
# Tm4ZnGa3 | Alexandria via LeMat-Bulk | PBE | optimized geometry
# Spin magnetization = 0.00 Bohr magnetons per cell
# Calculated density = 9.0 Mg/m³
# Offset from the most stable computed form = 5 meV per atom
# ΔH_f (0 K) = -0.53 eV per atom
data_Tm4ZnGa3
_symmetry_space_group_name_H-M 'P 4/m m m'
_symmetry_Int_Tables_number 123
_symmetry_space_group_name_Hall '-P 4 2'
_cell_length_a 4.998
_cell_length_b 4.998
_cell_length_c 6.989
_cell_angle_alpha 90.00
_cell_angle_beta 90.00
_cell_angle_gamma 90.00
loop_
_atom_site_label
_atom_site_type_symbol
_atom_site_fract_x
_atom_site_fract_y
_atom_site_fract_z
Tm1 Tm 0.000 0.500 0.249
Zn1 Zn 0.000 0.000 0.000
Ga1 Ga 0.000 0.000 0.500
Ga2 Ga 0.500 0.500 0.000
Ga3 Ga 0.500 0.500 0.500

(17)
# TmZn2Ga | Alexandria via LeMat-Bulk | PBE | optimized geometry
# Spin magnetization = 0.00 Bohr magnetons per cell
# Calculated density = 8.0 Mg/m³
# ΔH_f (0 K) = -0.27 eV per atom
data_TmZn2Ga
_symmetry_space_group_name_H-M 'R -3 m'
_symmetry_Int_Tables_number 166
_symmetry_space_group_name_Hall '-R 3 2"'
_cell_length_a 4.2373
_cell_length_b 4.2373
_cell_length_c 14.7546
_cell_angle_alpha 90.00
_cell_angle_beta 90.00
_cell_angle_gamma 120.00
loop_
_atom_site_label
_atom_site_type_symbol
_atom_site_fract_x
_atom_site_fract_y
_atom_site_fract_z
Tm1 Tm 0.0000 0.0000 0.0000
Zn1 Zn 0.0000 0.0000 0.2198
Ga1 Ga 0.0000 0.0000 0.5000

(18)
# Tm4Zn2Ga | Alexandria via LeMat-Bulk | PBE | optimized geometry
# Spin magnetization = 0.00 Bohr magnetons per cell
# Calculated density = 8.5 Mg/m³
# ΔH_f (0 K) = -0.31 eV per atom
data_Tm4Zn2Ga
_symmetry_space_group_name_H-M 'I 4/m m m'
_symmetry_Int_Tables_number 139
_symmetry_space_group_name_Hall '-I 4 2'
_cell_length_a 7.001
_cell_length_b 7.001
_cell_length_c 6.948
_cell_angle_alpha 90.00
_cell_angle_beta 90.00
_cell_angle_gamma 90.00
loop_
_atom_site_label
_atom_site_type_symbol
_atom_site_fract_x
_atom_site_fract_y
_atom_site_fract_z
Tm1 Tm 0.250 0.250 0.250
Zn1 Zn 0.000 0.500 0.000
Ga1 Ga 0.000 0.000 0.000

(19)
# Tm2Zn15Ga2 | Alexandria via LeMat-Bulk | PBE | optimized geometry
# Spin magnetization = 0.00 Bohr magnetons per cell
# Calculated density = 7.9 Mg/m³
# ΔH_f (0 K) = -0.20 eV per atom
data_Tm2Zn15Ga2
_symmetry_space_group_name_H-M 'R -3 m'
_symmetry_Int_Tables_number 166
_symmetry_space_group_name_Hall '-R 3 2"'
_cell_length_a 9.0692
_cell_length_b 9.0692
_cell_length_c 12.9349
_cell_angle_alpha 90.00
_cell_angle_beta 90.00
_cell_angle_gamma 120.00
loop_
_atom_site_label
_atom_site_type_symbol
_atom_site_fract_x
_atom_site_fract_y
_atom_site_fract_z
Tm1 Tm 0.0000 0.0000 0.1651
Zn1 Zn 0.0000 0.3125 0.5000
Zn2 Zn 0.0000 0.5000 0.0000
Zn3 Zn 0.0130 0.5065 0.6565
Ga1 Ga 0.0000 0.0000 0.4008

(20)
# TmZn17Ga | Alexandria via LeMat-Bulk | PBE | optimized geometry
# Spin magnetization = 0.00 Bohr magnetons per cell
# Calculated density = 7.3 Mg/m³
# ΔH_f (0 K) = -0.08 eV per atom
data_TmZn17Ga
_symmetry_space_group_name_H-M 'R 3 m'
_symmetry_Int_Tables_number 160
_symmetry_space_group_name_Hall 'R 3 -2"'
_cell_length_a 8.9159
_cell_length_b 8.9159
_cell_length_c 13.3402
_cell_angle_alpha 90.00
_cell_angle_beta 90.00
_cell_angle_gamma 120.00
loop_
_atom_site_label
_atom_site_type_symbol
_atom_site_fract_x
_atom_site_fract_y
_atom_site_fract_z
Tm1 Tm 0.0000 0.0000 0.0000
Zn1 Zn 0.0000 0.0000 0.5617
Zn2 Zn 0.0000 0.0000 0.7618
Zn3 Zn 0.0017 0.5009 0.8155
Zn4 Zn 0.0290 0.3545 0.3325
Zn5 Zn 0.1714 0.3429 0.5046
Zn6 Zn 0.1713 0.3426 0.8419
Ga1 Ga 0.0000 0.0000 0.2762